Compound: KVFe2
Source: Alexandria
Functional: PBE
Structure: relaxed

Computed properties:
* E above lowest polymorph: 0 meV/atom
* M_tot: 8.191 μB/cell
* formation enthalpy at 0 K: 1210 meV per atom
* uncorrected energy: -22.30 eV/f.u.

abc: 4.916 4.916 16.176
angles: 90.00 90.00 90.00
Positions (direct):
K  0.000  0.250  0.375
K  0.000  0.750  0.625
K  0.500  0.250  0.125
K  0.500  0.750  0.875
V  0.000  0.250  0.875
V  0.000  0.750  0.125
V  0.500  0.250  0.625
V  0.500  0.750  0.375
Fe  0.000  0.000  0.000
Fe  0.000  0.500  0.000
Fe  0.250  0.250  0.750
Fe  0.250  0.750  0.250
Fe  0.500  0.000  0.500
Fe  0.500  0.500  0.500
Fe  0.750  0.250  0.750
Fe  0.750  0.750  0.250